! Li2CdB2Rh5 (PBE, optimized geometry); values from VASP
&SYSTEM
  ibrav = 0, nat = 20, ntyp = 4
/
ATOMIC_SPECIES
Rh 102.91 Rh.upf
Li 6.94 Li.upf
B 10.81 B.upf
Cd 112.41 Cd.upf
CELL_PARAMETERS angstrom
2.909 0.000 0.000
0.000 9.663 0.000
0.000 0.000 9.663
ATOMIC_POSITIONS crystal
Rh 0.500 0.571 0.727
Li 0.000 0.676 0.176
B 0.000 0.877 0.377
Rh 0.500 0.929 0.227
Rh 0.500 0.773 0.929
Cd 0.000 0.500 0.500
Rh 0.500 0.000 0.500
Rh 0.500 0.071 0.773
Rh 0.500 0.227 0.071
Rh 0.500 0.500 0.000
B 0.000 0.623 0.877
Rh 0.500 0.429 0.273
Rh 0.500 0.727 0.429
B 0.000 0.377 0.123
B 0.000 0.123 0.623
Li 0.000 0.324 0.824
Li 0.000 0.824 0.676
Rh 0.500 0.273 0.571
Li 0.000 0.176 0.324
Cd 0.000 0.000 0.000
! ΔE_f: -0.298 eV/atom
! raw total energy: -5.783 eV/atom
! DOS at the Fermi energy: 0.688 states/eV/atom